# 1
# RbCd3F6

RbCd3F6 after structural relaxation (GGA-PBE, Alexandria via LeMat-Bulk).

## Properties
* uncorrected formation energy: -2.1385 eV/atom
* VASP energy: -36.3 eV/cell

Unit cell a=3.571 b=7.399 c=7.399 alpha=110.99 beta=90.00 gamma=90.00
Element x y z (fractional)
1 F 0.000 0.929 0.663
2 F 0.500 0.682 0.318
3 F 0.000 0.663 0.929
4 F 0.500 0.318 0.682
5 F 0.000 0.337 0.071
6 F 0.000 0.071 0.337
7 Cd 0.500 0.500 0.000
8 Cd 0.500 0.000 0.500
9 Cd 0.000 0.000 0.000
10 Rb 0.000 0.500 0.500

---

# 2
# SrLaFe

SrLaFe after structural relaxation (GGA-PBE, Alexandria via LeMat-Bulk).

## Properties
* formation energy from the elements: 348 meV per atom
* excess energy over the best structure of this formula in the dataset: 0.0 meV/atom
* VASP energy: -14.0 eV/cell

Unit cell a=7.353 b=7.353 c=7.353 alpha=151.08 beta=151.08 gamma=41.36
Last column: magnetic moment on the atom in μB.
Element x y z (fractional)
1 Sr 0.634 0.634 0.000  -0.07
2 La 0.381 0.381 0.000  -0.30
3 Fe 0.984 0.984 0.000  2.17

---

# 3
# TbGdRh

TbGdRh after structural relaxation (GGA-PBE, Alexandria via LeMat-Bulk).

## Properties
* formation energy from the elements: -528 meV per atom
* excess energy over the best structure of this formula in the dataset: 27.4 meV/atom
* VASP energy: -27.6 eV/cell

Unit cell a=3.486 b=3.486 c=6.798 alpha=104.86 beta=104.86 gamma=90.00
Last column: magnetic moment on the atom in μB.
Element x y z (fractional)
1 Rh 0.668 0.668 0.337  -0.03
2 Gd 0.036 0.036 0.072  -7.06
3 Tb 0.296 0.296 0.592  -0.06

---

# 4
# AlTl2Fe

AlTl2Fe after structural relaxation (GGA-PBE, Alexandria via LeMat-Bulk).

## Properties
* formation energy from the elements: 390 meV per atom
* excess energy over the best structure of this formula in the dataset: 120.7 meV/atom
* VASP energy: -30.8 eV/cell

Unit cell a=10.002 b=10.002 c=7.437 alpha=47.75 beta=47.75 gamma=90.00
Last column: magnetic moment on the atom in μB.
Element x y z (fractional)
1 Al 0.250 0.750 0.500  -0.01
2 Al 0.500 0.500 0.000  -0.01
3 Tl 0.875 0.125 0.750  -0.03
4 Tl 0.875 0.625 0.250  -0.02
5 Tl 0.375 0.125 0.750  -0.03
6 Tl 0.875 0.125 0.250  -0.02
7 Fe 0.000 0.000 0.000  0.95
8 Fe 0.750 0.250 0.500  0.95

---

# 5
# BaIrCl2

BaIrCl2 after structural relaxation (GGA-PBE, Alexandria via LeMat-Bulk).

## Properties
* excess energy over the best structure of this formula in the dataset: 484.8 meV/atom
* uncorrected formation energy: -0.3353 eV/atom
* VASP energy: -15.8 eV/cell

Unit cell a=3.760 b=5.923 c=4.509 alpha=90.00 beta=90.00 gamma=90.00
Last column: magnetic moment on the atom in μB.
Element x y z (fractional)
1 Cl 0.500 0.500 0.000  0.01
2 Cl 0.000 0.000 0.000  0.03
3 Ir 0.500 0.000 0.500  0.74
4 Ba 0.000 0.500 0.500  -0.01

---

# 6
# DyZnAu2

DyZnAu2 after structural relaxation (GGA-PBE, Alexandria via LeMat-Bulk).

## Properties
* formation energy from the elements: -563 meV per atom
* VASP energy: -14.7 eV/cell

Unit cell a=3.501 b=3.501 c=6.529 alpha=90.00 beta=90.00 gamma=90.00
Element x y z (fractional)
1 Zn 0.500 0.500 0.000
2 Dy 0.500 0.500 0.500
3 Au 0.000 0.000 0.229
4 Au 0.000 0.000 0.771

---

# 7
# BeHgAu2

BeHgAu2 after structural relaxation (GGA-PBE, Alexandria via LeMat-Bulk).

## Properties
* formation energy from the elements: 234 meV per atom
* excess energy over the best structure of this formula in the dataset: 265.3 meV/atom
* VASP energy: -9.6 eV/cell

Unit cell a=4.596 b=4.596 c=4.596 alpha=60.00 beta=60.00 gamma=60.00
Element x y z (fractional)
1 Hg 0.500 0.500 0.500
2 Au 0.750 0.750 0.750
3 Au 0.250 0.250 0.250
4 Be 0.000 0.000 0.000

---

# 8
# Cd3HgAu

Cd3HgAu after structural relaxation (GGA-PBE, Alexandria via LeMat-Bulk).

## Properties
* formation energy from the elements: -47 meV per atom
* excess energy over the best structure of this formula in the dataset: 0.3 meV/atom
* VASP energy: -26.2 eV/cell

Unit cell a=7.345 b=7.128 c=9.809 alpha=114.03 beta=90.00 gamma=90.00
Element x y z (fractional)
1 Cd 0.142 0.117 0.319
2 Cd 0.308 0.569 0.063
3 Cd 0.972 0.763 0.948
4 Cd 0.358 0.117 0.819
5 Cd 0.028 0.237 0.052
6 Cd 0.528 0.763 0.448
7 Cd 0.808 0.431 0.437
8 Cd 0.692 0.431 0.937
9 Cd 0.642 0.883 0.181
10 Cd 0.858 0.883 0.681
11 Cd 0.192 0.569 0.563
12 Cd 0.472 0.237 0.552
13 Hg 0.022 0.342 0.738
14 Hg 0.478 0.342 0.238
15 Hg 0.978 0.658 0.262
16 Hg 0.522 0.658 0.762
17 Au 0.315 0.949 0.037
18 Au 0.185 0.949 0.537
19 Au 0.685 0.051 0.963
20 Au 0.815 0.051 0.463

---

# 9
# ZnSi2Pt2

ZnSi2Pt2 after structural relaxation (GGA-PBE, Alexandria via LeMat-Bulk).

## Properties
* uncorrected formation energy: -0.1666 eV/atom
* VASP energy: -50.1 eV/cell

Unit cell a=7.438 b=7.438 c=2.815 alpha=90.00 beta=90.00 gamma=90.00
Element x y z (fractional)
1 Zn 0.500 0.500 0.000
2 Zn 0.000 0.000 0.000
3 Si 0.155 0.345 0.000
4 Si 0.655 0.155 0.000
5 Si 0.845 0.655 0.000
6 Si 0.345 0.845 0.000
7 Pt 0.139 0.639 0.500
8 Pt 0.861 0.361 0.500
9 Pt 0.361 0.139 0.500
10 Pt 0.639 0.861 0.500

---

# 10
# TeAu8

TeAu8 after structural relaxation (GGA-PBE, Alexandria via LeMat-Bulk).

## Properties
* uncorrected formation energy: 0.0738 eV/atom
* VASP energy: -28.7 eV/cell

Unit cell a=6.761 b=6.761 c=6.761 alpha=95.40 beta=95.40 gamma=144.27
Element x y z (fractional)
1 Au 0.338 0.000 0.338
2 Au 0.328 0.328 0.656
3 Au 0.000 0.662 0.662
4 Au 0.328 0.672 0.000
5 Au 0.000 0.338 0.338
6 Au 0.662 0.000 0.662
7 Au 0.672 0.672 0.344
8 Au 0.672 0.328 0.000
9 Te 0.000 0.000 0.000

---

# 11
# Ba2Ni3Sb5

Ba2Ni3Sb5 after structural relaxation (GGA-PBE, Alexandria via LeMat-Bulk).

## Properties
* uncorrected formation energy: -0.4933 eV/atom
* VASP energy: -93.5 eV/cell

Unit cell a=6.707 b=9.631 c=9.631 alpha=64.38 beta=69.62 gamma=69.62
Element x y z (fractional)
1 Sb 0.250 0.500 0.500
2 Sb 0.750 0.500 0.500
3 Sb 0.535 0.715 0.715
4 Sb 0.408 0.225 0.958
5 Sb 0.592 0.775 0.042
6 Sb 0.035 0.715 0.715
7 Sb 0.965 0.285 0.285
8 Sb 0.465 0.285 0.285
9 Sb 0.092 0.042 0.775
10 Sb 0.908 0.958 0.225
11 Ni 0.750 0.000 0.000
12 Ni 0.250 0.000 0.000
13 Ni 0.892 0.723 0.492
14 Ni 0.392 0.492 0.723
15 Ni 0.108 0.277 0.508
16 Ni 0.608 0.508 0.277
17 Ba 0.638 0.086 0.638
18 Ba 0.138 0.638 0.086
19 Ba 0.362 0.914 0.362
20 Ba 0.862 0.362 0.914

---

# 12
# Ti5Pb2W

Ti5Pb2W after structural relaxation (GGA-PBE, Alexandria via LeMat-Bulk).

## Properties
* formation energy from the elements: -41 meV per atom
* VASP energy: -60.2 eV/cell

Unit cell a=4.836 b=4.836 c=7.151 alpha=109.76 beta=109.76 gamma=90.00
Element x y z (fractional)
1 Ti 0.389 0.889 0.777
2 Ti 0.111 0.611 0.223
3 Ti 0.889 0.389 0.777
4 Ti 0.611 0.111 0.223
5 Ti 0.500 0.500 0.000
6 W 0.000 0.000 0.000
7 Pb 0.749 0.749 0.498
8 Pb 0.251 0.251 0.502

---

# 13
# Rb2PaGeO6

Rb2PaGeO6 after structural relaxation (GGA-PBE, Alexandria via LeMat-Bulk).

## Properties
* uncorrected formation energy: -2.1481 eV/atom
* VASP energy: -67.3 eV/cell

Unit cell a=4.511 b=5.772 c=5.772 alpha=90.00 beta=90.00 gamma=90.00
Last column: magnetic moment on the atom in μB.
Element x y z (fractional)
1 Rb 0.136 0.500 0.000  0.00
2 Rb 0.136 0.000 0.500  0.00
3 O 0.650 0.767 0.233  0.11
4 O 0.650 0.767 0.767  0.11
5 O 0.650 0.233 0.233  0.11
6 O 0.150 0.500 0.500  0.05
7 O 0.189 0.000 0.000  0.38
8 O 0.650 0.233 0.767  0.11
9 Ge 0.590 0.000 0.000  -0.02
10 Pa 0.645 0.500 0.500  -0.04

---

# 14
# CsK2ErBr6

CsK2ErBr6 after structural relaxation (GGA-PBE, Alexandria via LeMat-Bulk).

## Properties
* uncorrected formation energy: -1.8250 eV/atom
* VASP energy: -35.9 eV/cell

Unit cell a=8.243 b=8.242 c=8.679 alpha=61.66 beta=61.66 gamma=60.01
Element x y z (fractional)
1 Br 0.237 0.981 0.231
2 Br 0.388 0.681 0.781
3 Br 0.552 0.237 0.231
4 Br 0.681 0.150 0.781
5 Br 0.150 0.388 0.781
6 Br 0.981 0.552 0.231
7 Cs 0.810 0.810 0.570
8 K 0.011 0.011 0.966
9 K 0.527 0.527 0.419
10 Er 0.326 0.326 0.023

---

# 15
# Ho2LuFe

Ho2LuFe after structural relaxation (GGA-PBE, Alexandria via LeMat-Bulk).

## Properties
* formation energy from the elements: 338 meV per atom
* excess energy over the best structure of this formula in the dataset: 254.0 meV/atom
* VASP energy: -20.8 eV/cell

Unit cell a=3.420 b=3.420 c=10.628 alpha=80.74 beta=80.74 gamma=60.00
Last column: magnetic moment on the atom in μB.
Element x y z (fractional)
1 Ho 0.107 0.107 0.679  -0.24
2 Ho 0.893 0.893 0.321  -0.24
3 Fe 0.500 0.500 0.500  1.40
4 Lu 0.000 0.000 0.000  -0.18

---

# 16
# Ag2HgSe

Ag2HgSe after structural relaxation (GGA-PBE, Alexandria via LeMat-Bulk).

## Properties
* excess energy over the best structure of this formula in the dataset: 104.2 meV/atom
* uncorrected formation energy: 0.1025 eV/atom
* VASP energy: -9.1 eV/cell

Unit cell a=3.661 b=3.661 c=6.079 alpha=90.00 beta=90.00 gamma=90.00
Element x y z (fractional)
1 Ag 0.000 0.000 0.753
2 Ag 0.000 0.000 0.247
3 Hg 0.500 0.500 0.500
4 Se 0.500 0.500 0.000

---

# 17
# Tm6TeAs3S2

Tm6TeAs3S2 after structural relaxation (GGA-PBE, Alexandria via LeMat-Bulk).

## Properties
* uncorrected formation energy: -1.6059 eV/atom
* VASP energy: -71.4 eV/cell

Unit cell a=4.035 b=8.096 c=9.019 alpha=102.81 beta=102.93 gamma=90.00
Element x y z (fractional)
1 As 0.163 0.832 0.325
2 As 0.837 0.168 0.675
3 As 0.500 0.500 0.000
4 Tm 0.676 0.089 0.352
5 Tm 0.997 0.727 0.993
6 Tm 0.668 0.584 0.336
7 Tm 0.003 0.273 0.007
8 Tm 0.324 0.911 0.648
9 Tm 0.332 0.416 0.664
10 Te 0.500 0.000 0.000
11 S 0.169 0.335 0.338
12 S 0.831 0.665 0.662

---

# 18
# KMgMo3

KMgMo3 after structural relaxation (GGA-PBE, Alexandria via LeMat-Bulk).

## Properties
* formation energy from the elements: 2449 meV per atom
* excess energy over the best structure of this formula in the dataset: 0.0 meV/atom
* VASP energy: -22.9 eV/cell

Unit cell a=4.901 b=4.901 c=4.901 alpha=90.00 beta=90.00 gamma=90.00
Last column: magnetic moment on the atom in μB.
Element x y z (fractional)
1 K 0.500 0.500 0.500  0.03
2 Mg 0.000 0.000 0.000  0.03
3 Mo 0.000 0.000 0.500  1.16
4 Mo 0.500 0.000 0.000  1.34
5 Mo 0.000 0.500 0.000  1.10

---

# 19
# SrLa2Cu

SrLa2Cu after structural relaxation (GGA-PBE, Alexandria via LeMat-Bulk).

## Properties
* formation energy from the elements: 2 meV per atom
* excess energy over the best structure of this formula in the dataset: 0.0 meV/atom
* VASP energy: -15.6 eV/cell

Unit cell a=3.763 b=3.763 c=9.374 alpha=90.00 beta=90.00 gamma=90.00
Element x y z (fractional)
1 La 0.000 0.000 0.946
2 La 0.500 0.500 0.218
3 Cu 0.500 0.500 0.777
4 Sr 0.000 0.000 0.559

---

# 20
# ScAg2Au

ScAg2Au after structural relaxation (GGA-PBE, Alexandria via LeMat-Bulk).

## Properties
* formation energy from the elements: -348 meV per atom
* excess energy over the best structure of this formula in the dataset: 19.9 meV/atom
* VASP energy: -16.7 eV/cell

Unit cell a=3.480 b=3.486 c=6.232 alpha=90.00 beta=90.00 gamma=90.00
Element x y z (fractional)
1 Ag 0.500 0.500 0.246
2 Ag 0.000 0.000 0.011
3 Au 0.000 0.000 0.506
4 Sc 0.500 0.500 0.738

---

# 21
# NaMnFeAs2

NaMnFeAs2 after structural relaxation (GGA-PBE, Alexandria via LeMat-Bulk).

## Properties
* formation energy from the elements: -263 meV per atom
* VASP energy: -29.6 eV/cell

Unit cell a=3.751 b=3.751 c=6.865 alpha=105.85 beta=105.85 gamma=90.00
Last column: magnetic moment on the atom in μB.
Element x y z (fractional)
1 Mn 0.250 0.750 0.500  2.23
2 Na 0.000 0.000 0.000  0.00
3 As 0.635 0.635 0.270  -0.10
4 As 0.365 0.365 0.730  -0.10
5 Fe 0.750 0.250 0.500  0.85

---

# 22
# SnRh2N

SnRh2N after structural relaxation (GGA-PBE, Alexandria via LeMat-Bulk).

## Properties
* excess energy over the best structure of this formula in the dataset: 0.0 meV/atom
* uncorrected formation energy: 0.1321 eV/atom
* VASP energy: -53.0 eV/cell

Unit cell a=5.282 b=5.282 c=6.282 alpha=65.14 beta=65.14 gamma=90.00
Element x y z (fractional)
1 Rh 0.507 0.125 0.250
2 Rh 0.875 0.757 0.750
3 Rh 0.375 0.493 0.750
4 Rh 0.243 0.625 0.250
5 Sn 0.000 0.000 0.000
6 Sn 0.750 0.250 0.500
7 N 0.250 0.750 0.500
8 N 0.500 0.500 0.000

---

# 23
# BaFe2Tc

BaFe2Tc after structural relaxation (GGA-PBE, Alexandria via LeMat-Bulk).

## Properties
* formation energy from the elements: 1208 meV per atom
* excess energy over the best structure of this formula in the dataset: 752.1 meV/atom
* VASP energy: -24.4 eV/cell

Unit cell a=4.734 b=4.734 c=4.734 alpha=60.00 beta=60.00 gamma=60.00
Last column: magnetic moment on the atom in μB.
Element x y z (fractional)
1 Fe 0.750 0.750 0.750  2.71
2 Fe 0.250 0.250 0.250  2.71
3 Tc 0.000 0.000 0.000  1.62
4 Ba 0.500 0.500 0.500  -0.07

---

# 24
# CeEr8Tm2

CeEr8Tm2 after structural relaxation (GGA-PBE, Alexandria via LeMat-Bulk).

## Properties
* formation energy from the elements: 129 meV per atom
* excess energy over the best structure of this formula in the dataset: 0.0 meV/atom
* VASP energy: -50.0 eV/cell

Unit cell a=5.426 b=7.993 c=9.230 alpha=115.65 beta=107.09 gamma=90.00
Last column: magnetic moment on the atom in μB.
Element x y z (fractional)
1 Er 0.000 0.709 0.000  -0.10
2 Er 0.000 0.291 0.000  -0.10
3 Er 0.361 0.570 0.723  -0.08
4 Er 0.361 0.152 0.722  -0.08
5 Er 0.639 0.848 0.278  -0.08
6 Er 0.639 0.430 0.277  -0.08
7 Er 0.163 0.164 0.327  -0.07
8 Er 0.837 0.836 0.673  -0.07
9 Tm 0.800 0.301 0.601  0.00
10 Tm 0.200 0.699 0.399  0.00
11 Ce 0.500 0.000 0.000  -0.80

---

# 25
# Cd2SbTe2

Cd2SbTe2 after structural relaxation (GGA-PBE, Alexandria via LeMat-Bulk).

## Properties
* excess energy over the best structure of this formula in the dataset: 0.0 meV/atom
* uncorrected formation energy: -0.0098 eV/atom
* VASP energy: -24.6 eV/cell

Unit cell a=8.715 b=8.715 c=4.216 alpha=90.00 beta=90.00 gamma=90.00
Element x y z (fractional)
1 Cd 0.889 0.389 0.500
2 Cd 0.389 0.111 0.500
3 Cd 0.111 0.611 0.500
4 Cd 0.611 0.889 0.500
5 Te 0.227 0.273 0.000
6 Te 0.273 0.773 0.000
7 Te 0.727 0.227 0.000
8 Te 0.773 0.727 0.000
9 Sb 0.000 0.000 0.000
10 Sb 0.500 0.500 0.000